This record from OQMD via LeMat-Bulk describes a geometry-optimized CoPb2SeO6 structure. The functional is GGA+U.

Results
Calculated volume = 11.95 Å³ per atom
Total DFT energy (no corrections) = -5.32 eV per atom

```
10
Lattice="0.000 3.909 3.909 3.909 0.000 3.909 3.909 3.909 0.000" Properties=species:S:1:pos:R:3 pbc="T T T"
O 5.736 3.909 3.909
O 3.909 5.736 3.909
O 3.909 3.909 2.082
O 2.082 3.909 3.909
O 3.909 3.909 5.736
O 3.909 2.082 3.909
Se 3.909 3.909 3.909
Co 0.000 0.000 0.000
Pb 5.864 5.864 5.864
Pb 1.955 1.955 1.955
```